[1]
Here is a PBEsol-optimized structure of SbRu2 from the Alexandria database. Energies are from meta-GGA SCAN.

Summary:
Formation energy without anion corrections   607 meV/atom
Electronic total energy   -35.031 eV per atom

a b c (Å): 5.193 5.193 5.193
angles (deg): 60.00 60.00 60.00
Fractional coordinates of all 6 atoms:
1 Sb 0.125 0.125 0.125
2 Sb 0.875 0.875 0.875
3 Ru 0.000 0.500 0.500
4 Ru 0.500 0.000 0.500
5 Ru 0.500 0.500 0.000
6 Ru 0.500 0.500 0.500



[2]
Here is a PBEsol-optimized structure of Pt2RhW from the Alexandria database. Energies are from meta-GGA SCAN.

Summary:
Polymorph energy (0 for the lowest one)   0.241 eV per atom
Electronic total energy   -61.023 eV per atom

a b c (Å): 3.337 3.337 5.379
angles (deg): 90.00 90.00 90.00
Fractional coordinates of all 4 atoms:
1 Pt 0.000 0.000 0.248
2 Pt 0.000 0.000 0.752
3 Rh 0.500 0.500 0.500
4 W 0.500 0.500 0.000



[3]
Here is a PBEsol-optimized structure of SrScBe2 from the Alexandria database. Energies are from meta-GGA SCAN.

Summary:
Polymorph energy (0 for the lowest one)   0.282 eV per atom
Electronic total energy   -10.563 eV per atom

a b c (Å): 5.016 5.016 5.016
angles (deg): 128.37 128.37 76.03
Fractional coordinates of all 4 atoms:
1 Sr 0.000 0.000 0.000
2 Sc 0.250 0.750 0.500
3 Be 0.500 0.500 0.000
4 Be 0.750 0.250 0.500



[4]
Here is a PBEsol-optimized structure of LiCr3O8 from the Alexandria database. Energies are from meta-GGA SCAN.

Summary:
Formation energy without anion corrections   -2086 meV/atom
Electronic total energy   -11.035 eV per atom

a b c (Å): 4.943 4.943 6.172
angles (deg): 91.12 91.12 66.64
Fractional coordinates of all 12 atoms:
1 Li 0.000 0.000 0.000
2 Cr 0.000 0.000 0.500
3 Cr 0.356 0.356 0.258
4 Cr 0.644 0.644 0.742
5 O 0.216 0.729 0.273
6 O 0.226 0.226 0.456
7 O 0.258 0.258 0.032
8 O 0.271 0.784 0.727
9 O 0.729 0.216 0.273
10 O 0.742 0.742 0.968
11 O 0.774 0.774 0.544
12 O 0.784 0.271 0.727



[5]
Here is a PBEsol-optimized structure of Sr3BrO from the Alexandria database. Energies are from meta-GGA SCAN.

Summary:
Formation energy without anion corrections   -1294 meV/atom
Electronic total energy   -19.797 eV per atom

a b c (Å): 5.217 5.217 5.217
angles (deg): 90.00 90.00 90.00
Fractional coordinates of all 5 atoms:
1 Sr 0.000 0.000 0.500
2 Sr 0.000 0.500 0.000
3 Sr 0.500 0.000 0.000
4 Br 0.500 0.500 0.500
5 O 0.000 0.000 0.000



[6]
Here is a PBEsol-optimized structure of Tl2Te from the Alexandria database. Energies are from meta-GGA SCAN.

Summary:
Polymorph energy (0 for the lowest one)   0.117 eV per atom
Formation energy without anion corrections   -178 meV/atom
Electronic total energy   -60.834 eV per atom

a b c (Å): 16.335 16.335 16.335
angles (deg): 163.26 163.26 23.75
Fractional coordinates of all 12 atoms:
1 Tl 0.124 0.374 0.750
2 Tl 0.287 0.537 0.750
3 Tl 0.374 0.124 0.250
4 Tl 0.463 0.713 0.750
5 Tl 0.537 0.287 0.250
6 Tl 0.626 0.876 0.750
7 Tl 0.713 0.463 0.250
8 Tl 0.876 0.626 0.250
9 Te 0.050 0.800 0.250
10 Te 0.200 0.950 0.250
11 Te 0.800 0.050 0.750
12 Te 0.950 0.200 0.750



[7]
Here is a PBEsol-optimized structure of In7Ag from the Alexandria database. Energies are from meta-GGA SCAN.

Summary:
Electronic total energy   -33.043 eV per atom

a b c (Å): 6.468 6.468 6.468
angles (deg): 60.00 60.00 60.00
Fractional coordinates of all 8 atoms:
1 In 0.000 0.000 0.000
2 In 0.000 0.000 0.500
3 In 0.000 0.500 0.000
4 In 0.000 0.500 0.500
5 In 0.500 0.000 0.000
6 In 0.500 0.000 0.500
7 In 0.500 0.500 0.000
8 Ag 0.500 0.500 0.500



[8]
Here is a PBEsol-optimized structure of MgPbSe2N from the Alexandria database. Energies are from meta-GGA SCAN.

Summary:
Formation energy without anion corrections   680 meV/atom
Electronic total energy   -25.360 eV per atom

a b c (Å): 5.433 5.433 4.212
angles (deg): 90.00 90.00 90.00
Fractional coordinates of all 5 atoms:
1 Mg 0.000 0.000 0.000
2 Pb 0.500 0.500 0.500
3 Se 0.000 0.500 0.500
4 Se 0.500 0.000 0.500
5 N 0.500 0.500 0.000



[9]
Here is a PBEsol-optimized structure of YRh3C from the Alexandria database. Energies are from meta-GGA SCAN.

Summary:
Polymorph energy (0 for the lowest one)   0.000 eV per atom
Electronic total energy   -28.415 eV per atom

a b c (Å): 4.122 4.122 4.122
angles (deg): 90.00 90.00 90.00
Fractional coordinates of all 5 atoms:
1 Y 0.000 0.000 0.000
2 Rh 0.000 0.500 0.500
3 Rh 0.500 0.000 0.500
4 Rh 0.500 0.500 0.000
5 C 0.500 0.500 0.500



[10]
Here is a PBEsol-optimized structure of CrAg2Pt from the Alexandria database. Energies are from meta-GGA SCAN.

Summary:
Polymorph energy (0 for the lowest one)   0.000 eV per atom
Electronic total energy   -37.847 eV per atom

a b c (Å): 5.005 5.005 5.005
angles (deg): 134.92 134.92 65.65
Fractional coordinates of all 4 atoms:
1 Cr 0.000 0.000 0.000
2 Ag 0.250 0.750 0.500
3 Ag 0.750 0.250 0.500
4 Pt 0.500 0.500 0.000



[11]
Here is a PBEsol-optimized structure of MnRh2Pb from the Alexandria database. Energies are from meta-GGA SCAN.

Summary:
Electronic total energy   -40.459 eV per atom

a b c (Å): 4.553 4.553 4.932
angles (deg): 101.95 101.95 39.29
Fractional coordinates of all 4 atoms:
1 Mn 0.000 0.000 0.000
2 Rh 0.257 0.257 0.777
3 Rh 0.743 0.743 0.223
4 Pb 0.500 0.500 0.500



[12]
Here is a PBEsol-optimized structure of Li2FeSi6O15 from the Alexandria database. Energies are from meta-GGA SCAN.

Summary:
Polymorph energy (0 for the lowest one)   0.043 eV per atom
Formation energy without anion corrections   -2689 meV/atom
Electronic total energy   -10.042 eV per atom

a b c (Å): 6.820 7.181 7.373
angles (deg): 96.34 113.41 113.15
Fractional coordinates of all 24 atoms:
1 Li 0.216 0.175 0.138
2 Li 0.784 0.825 0.862
3 Fe 0.500 0.000 0.000
4 Si 0.142 0.805 0.214
5 Si 0.223 0.513 0.702
6 Si 0.378 0.177 0.610
7 Si 0.622 0.823 0.390
8 Si 0.777 0.487 0.298
9 Si 0.858 0.195 0.786
10 O 0.000 0.500 0.500
11 O 0.123 0.392 0.847
12 O 0.141 0.866 0.011
13 O 0.191 0.024 0.367
14 O 0.335 0.048 0.768
15 O 0.342 0.387 0.624
16 O 0.344 0.738 0.347
17 O 0.449 0.750 0.841
18 O 0.551 0.250 0.159
19 O 0.656 0.262 0.653
20 O 0.658 0.613 0.376
21 O 0.665 0.952 0.232
22 O 0.809 0.976 0.633
23 O 0.859 0.134 0.989
24 O 0.877 0.608 0.153



[13]
Here is a PBEsol-optimized structure of MnP3Pt from the Alexandria database. Energies are from meta-GGA SCAN.

Summary:
Electronic total energy   -23.139 eV per atom

a b c (Å): 4.649 4.649 4.649
angles (deg): 90.00 90.00 90.00
Fractional coordinates of all 5 atoms:
1 Mn 0.000 0.000 0.000
2 P 0.000 0.500 0.500
3 P 0.500 0.000 0.500
4 P 0.500 0.500 0.000
5 Pt 0.500 0.500 0.500



[14]
Here is a PBEsol-optimized structure of Cs2NbAsI from the Alexandria database. Energies are from meta-GGA SCAN.

Summary:
Formation energy without anion corrections   576 meV/atom
Electronic total energy   -32.561 eV per atom

a b c (Å): 6.998 6.998 5.337
angles (deg): 90.00 90.00 90.00
Fractional coordinates of all 5 atoms:
1 Cs 0.000 0.500 0.000
2 Cs 0.500 0.000 0.000
3 Nb 0.000 0.000 0.000
4 As 0.500 0.500 0.500
5 I 0.000 0.000 0.500



[15]
Here is a PBEsol-optimized structure of Zr2SiSn from the Alexandria database. Energies are from meta-GGA SCAN.

Summary:
Formation energy without anion corrections   -264 meV/atom
Electronic total energy   -27.098 eV per atom

a b c (Å): 4.812 4.812 4.812
angles (deg): 60.00 60.00 60.00
Fractional coordinates of all 4 atoms:
1 Zr 0.250 0.250 0.250
2 Zr 0.750 0.750 0.750
3 Si 0.000 0.000 0.000
4 Sn 0.500 0.500 0.500



[16]
Here is a PBEsol-optimized structure of K2BeSb from the Alexandria database. Energies are from meta-GGA SCAN.

Summary:
Polymorph energy (0 for the lowest one)   0.448 eV per atom
Formation energy without anion corrections   351 meV/atom
Electronic total energy   -14.217 eV per atom

a b c (Å): 4.532 4.532 5.294
angles (deg): 90.00 90.00 90.00
Fractional coordinates of all 4 atoms:
1 K 0.000 0.500 0.000
2 K 0.500 0.000 0.000
3 Be 0.000 0.000 0.500
4 Sb 0.500 0.500 0.500



[17]
Here is a PBEsol-optimized structure of TaTc from the Alexandria database. Energies are from meta-GGA SCAN.

Summary:
Electronic total energy   -50.700 eV per atom

a b c (Å): 5.406 5.406 4.663
angles (deg): 90.00 90.00 151.89
Fractional coordinates of all 4 atoms:
1 Ta 0.077 0.923 0.750
2 Ta 0.923 0.077 0.250
3 Tc 0.328 0.672 0.750
4 Tc 0.672 0.328 0.250



[18]
Here is a PBEsol-optimized structure of Te2Au from the Alexandria database. Energies are from meta-GGA SCAN.

Summary:
Formation energy without anion corrections   -16 meV/atom
Electronic total energy   -47.903 eV per atom

a b c (Å): 5.608 7.092 4.177
angles (deg): 90.00 90.00 90.00
Fractional coordinates of all 6 atoms:
1 Te 0.198 0.120 0.000
2 Te 0.302 0.620 0.500
3 Te 0.698 0.380 0.500
4 Te 0.802 0.880 0.000
5 Au 0.000 0.500 0.000
6 Au 0.500 0.000 0.500



[19]
Here is a PBEsol-optimized structure of CdSbN2F from the Alexandria database. Energies are from meta-GGA SCAN.

Summary:
Polymorph energy (0 for the lowest one)   0.000 eV per atom
Formation energy without anion corrections   237 meV/atom
Electronic total energy   -17.722 eV per atom

a b c (Å): 4.069 4.069 4.087
angles (deg): 90.00 90.00 90.00
Fractional coordinates of all 5 atoms:
1 Cd 0.000 0.000 0.000
2 Sb 0.500 0.500 0.500
3 N 0.000 0.500 0.500
4 N 0.500 0.000 0.500
5 F 0.500 0.500 0.000



[20]
Here is a PBEsol-optimized structure of BaMg2In from the Alexandria database. Energies are from meta-GGA SCAN.

Summary:
Electronic total energy   -20.855 eV per atom

a b c (Å): 3.593 5.073 6.689
angles (deg): 90.00 100.73 90.00
Fractional coordinates of all 4 atoms:
1 Ba 0.000 0.000 0.000
2 Mg 0.352 0.500 0.707
3 Mg 0.648 0.500 0.293
4 In 0.500 0.000 0.500



[21]
Here is a PBEsol-optimized structure of ScMoAu2 from the Alexandria database. Energies are from meta-GGA SCAN.

Summary:
Polymorph energy (0 for the lowest one)   0.359 eV per atom
Electronic total energy   -46.801 eV per atom

a b c (Å): 9.367 9.367 9.367
angles (deg): 18.12 18.12 18.12
Fractional coordinates of all 4 atoms:
1 Sc 0.000 0.000 0.000
2 Mo 0.750 0.750 0.750
3 Au 0.250 0.250 0.250
4 Au 0.497 0.497 0.497



[22]
Here is a PBEsol-optimized structure of YTl from the Alexandria database. Energies are from meta-GGA SCAN.

Summary:
Electronic total energy   -50.631 eV per atom

a b c (Å): 6.358 6.358 6.358
angles (deg): 144.73 133.98 59.28
Fractional coordinates of all 4 atoms:
1 Y 0.370 0.120 0.250
2 Y 0.630 0.880 0.750
3 Tl 0.112 0.362 0.750
4 Tl 0.888 0.638 0.250



[23]
Here is a PBEsol-optimized structure of Ti2Ge2Os from the Alexandria database. Energies are from meta-GGA SCAN.

Summary:
Electronic total energy   -29.032 eV per atom

a b c (Å): 6.322 6.322 3.790
angles (deg): 90.00 90.00 90.00
Fractional coordinates of all 10 atoms:
1 Ti 0.168 0.332 0.000
2 Ti 0.332 0.832 0.000
3 Ti 0.668 0.168 0.000
4 Ti 0.832 0.668 0.000
5 Ge 0.138 0.638 0.500
6 Ge 0.362 0.138 0.500
7 Ge 0.638 0.862 0.500
8 Ge 0.862 0.362 0.500
9 Os 0.000 0.000 0.500
10 Os 0.500 0.500 0.500



[24]
Here is a PBEsol-optimized structure of ZrAg2Hg from the Alexandria database. Energies are from meta-GGA SCAN.

Summary:
Electronic total energy   -40.426 eV per atom

a b c (Å): 2.990 4.048 6.215
angles (deg): 90.00 90.00 90.00
Fractional coordinates of all 4 atoms:
1 Zr 0.000 0.000 0.000
2 Ag 0.500 0.500 0.247
3 Ag 0.500 0.500 0.753
4 Hg 0.000 0.000 0.500



[25]
Here is a PBEsol-optimized structure of RbCa3H from the Alexandria database. Energies are from meta-GGA SCAN.

Summary:
Electronic total energy   -10.474 eV per atom

a b c (Å): 5.571 5.571 5.571
angles (deg): 90.00 90.00 90.00
Fractional coordinates of all 5 atoms:
1 Rb 0.000 0.000 0.000
2 Ca 0.000 0.500 0.500
3 Ca 0.500 0.000 0.500
4 Ca 0.500 0.500 0.000
5 H 0.500 0.500 0.500



[26]
Here is a PBEsol-optimized structure of BeAg2Pt from the Alexandria database. Energies are from meta-GGA SCAN.

Summary:
Electronic total energy   -34.325 eV per atom

a b c (Å): 4.333 4.333 4.333
angles (deg): 60.00 60.00 60.00
Fractional coordinates of all 4 atoms:
1 Be 0.000 0.000 0.000
2 Ag 0.500 0.500 0.500
3 Ag 0.750 0.750 0.750
4 Pt 0.250 0.250 0.250



[27]
Here is a PBEsol-optimized structure of CaLaCo2 from the Alexandria database. Energies are from meta-GGA SCAN.

Summary:
Electronic total energy   -21.609 eV per atom

a b c (Å): 3.271 3.271 8.006
angles (deg): 90.00 90.00 90.00
Fractional coordinates of all 4 atoms:
1 Ca 0.000 0.000 0.000
2 La 0.500 0.500 0.577
3 Co 0.000 0.000 0.340
4 Co 0.500 0.500 0.256